# 1
A relaxed structure of AlPCN4, computed with PBE.

Values from the calculation:
**Volume**: 83.9 Å³/f.u.
**Formation energy without anion corrections**: 96 meV per atom
**Space-group type**: Cm
**Calculated total energy**: -7.286 eV/atom

Lattice parameters (Å, degrees): 3.929 3.322 12.911 90.00 95.36 90.00
Element x y z (fractional)
P  0.103  0.000  0.075
P  0.103  0.500  0.575
C  0.733  0.000  0.988
C  0.733  0.500  0.488
Al  0.074  0.000  0.771
Al  0.074  0.500  0.271
N  0.795  0.000  0.884
N  0.795  0.500  0.384
N  0.059  0.000  0.196
N  0.059  0.500  0.696
N  0.417  0.000  0.014
N  0.417  0.500  0.514
N  0.566  0.000  0.804
N  0.566  0.500  0.304

# 2
A relaxed structure of AlPCN4, computed with PBE.

Values from the calculation:
**Volume**: 67.7 Å³/f.u.
**Formation energy without anion corrections**: -50 meV per atom
**Space-group type**: P1
**Calculated total energy**: -7.433 eV/atom

Lattice parameters (Å, degrees): 4.829 5.165 6.113 93.38 112.70 102.70
Element x y z (fractional)
P  0.207  0.467  0.049
P  0.771  0.958  0.490
C  0.460  0.261  0.239
C  0.135  0.899  0.372
Al  0.565  0.932  0.902
Al  0.579  0.438  0.723
N  0.329  0.822  0.258
N  0.224  0.033  0.596
N  0.323  0.559  0.852
N  0.856  0.315  0.980
N  0.718  0.795  0.686
N  0.833  0.860  0.241
N  0.324  0.019  0.092
N  0.669  0.276  0.462

# 3
A relaxed structure of AlPCN4, computed with PBE.

Values from the calculation:
**Volume**: 68.8 Å³/f.u.
**Formation energy without anion corrections**: 416 meV per atom
**Space-group type**: P1
**Calculated total energy**: -6.967 eV/atom

Lattice parameters (Å, degrees): 3.640 4.289 4.433 90.09 90.22 96.20
Element x y z (fractional)
P  0.857  0.884  0.956
C  0.692  0.491  0.079
Al  0.359  0.398  0.679
N  0.031  0.290  0.064
N  0.190  0.798  0.729
N  0.373  0.391  0.251
N  0.528  0.001  0.742

# 4
A relaxed structure of AlPCN4, computed with PBE.

Values from the calculation:
**Volume**: 83.0 Å³/f.u.
**Formation energy without anion corrections**: 50 meV per atom
**Space-group type**: P1
**Calculated total energy**: -7.333 eV/atom

Lattice parameters (Å, degrees): 5.123 5.333 6.539 93.76 95.23 110.32
Element x y z (fractional)
P  0.230  0.186  0.955
P  0.800  0.056  0.578
C  0.378  0.234  0.702
C  0.932  0.888  0.239
Al  0.367  0.737  0.184
Al  0.113  0.760  0.635
N  0.938  0.914  0.026
N  0.098  0.789  0.342
N  0.391  0.415  0.122
N  0.298  0.394  0.586
N  0.506  0.055  0.663
N  0.725  0.967  0.317
N  0.191  0.854  0.952
N  0.028  0.385  0.641

# 5
A relaxed structure of AlPCN4, computed with PBE.

Values from the calculation:
**Volume**: 62.3 Å³/f.u.
**Formation energy without anion corrections**: 277 meV per atom
**Space-group type**: P1
**Calculated total energy**: -7.106 eV/atom

Lattice parameters (Å, degrees): 2.992 3.776 6.026 99.74 92.58 110.84
Element x y z (fractional)
P  0.363  0.163  0.420
C  0.748  0.209  0.084
Al  0.029  0.486  0.837
N  0.325  0.938  0.079
N  0.750  0.960  0.587
N  0.938  0.374  0.307
N  0.565  0.593  0.656

# 6
A relaxed structure of AlPCN4, computed with PBE.

Values from the calculation:
**Volume**: 87.7 Å³/f.u.
**Formation energy without anion corrections**: 45 meV per atom
**Space-group type**: P1
**Calculated total energy**: -7.338 eV/atom

Lattice parameters (Å, degrees): 4.689 5.549 6.964 80.63 79.79 83.64
Element x y z (fractional)
P  0.290  0.232  0.011
P  0.025  0.790  0.428
C  0.130  0.291  0.472
C  0.921  0.987  0.760
Al  0.785  0.470  0.806
Al  0.668  0.006  0.221
N  0.885  0.979  0.958
N  0.956  0.216  0.651
N  0.386  0.461  0.863
N  0.352  0.151  0.389
N  0.073  0.517  0.380
N  0.894  0.783  0.682
N  0.914  0.226  0.021
N  0.357  0.886  0.414

# 7
A relaxed structure of AlPCN4, computed with PBE.

Values from the calculation:
**Volume**: 68.4 Å³/f.u.
**Formation energy without anion corrections**: 108 meV per atom
**Space-group type**: P1
**Calculated total energy**: -7.275 eV/atom

Lattice parameters (Å, degrees): 3.489 4.552 4.609 95.46 97.80 107.67
Element x y z (fractional)
P  0.150  0.156  0.351
C  0.412  0.711  0.280
Al  0.884  0.601  0.777
N  0.439  0.648  0.002
N  0.526  0.159  0.641
N  0.115  0.520  0.413
N  0.723  0.951  0.506

# 8
A relaxed structure of AlPCN4, computed with PBE.

Values from the calculation:
**Volume**: 95.3 Å³/f.u.
**Formation energy without anion corrections**: 162 meV per atom
**Space-group type**: P1
**Calculated total energy**: -7.220 eV/atom

Lattice parameters (Å, degrees): 3.368 3.863 7.714 102.66 99.05 97.32
Element x y z (fractional)
P  0.518  0.369  0.441
C  0.455  0.139  0.945
Al  0.918  0.859  0.087
N  0.757  0.357  0.042
N  0.478  0.714  0.376
N  0.193  0.873  0.880
N  0.458  0.938  0.259